Density functional theory data (PBE) for Ho2Si2Tc after structural relaxation.

Summary:
Uncorrected formation energy = -17.4 kcal/mol of atoms

Structure (CIF):
```
data_Ho2Si2Tc
_chemical_formula_sum 'Ho8 Si8 Tc4'
_symmetry_space_group_name_H-M 'C 1 2/m 1'
_symmetry_Int_Tables_number 12
_cell_length_a 10.791
_cell_length_b 4.167
_cell_length_c 10.062
_cell_angle_alpha 90.00
_cell_angle_beta 118.51
_cell_angle_gamma 90.00
loop_
_symmetry_equiv_pos_as_xyz
'x,y,z'
'-x,-y,-z'
'-x,y,-z'
'x,-y,z'
'x+1/2,y+1/2,z'
'-x+1/2,-y+1/2,-z'
'-x+1/2,y+1/2,-z'
'x+1/2,-y+1/2,z'
loop_
_atom_site_label
_atom_site_fract_x
_atom_site_fract_y
_atom_site_fract_z
Ho1 0.006 0.000 0.178
Ho2 0.187 0.000 0.610
Si1 0.002 0.500 0.378
Si2 0.141 0.500 0.060
Tc1 0.227 0.500 0.870
```